[1]
Computed, not measured: an optimized crystal structure of AcErSiGe at the GGA-PBE level of DFT.

Geometry as POSCAR:
```
AcErSiGe
1.0
-1.348 3.957 3.171
-4.724 2.237 -0.459
-3.625 -0.738 3.721
Ac Si Ge Er
1 1 1 1
direct
0.500 0.500 0.500
0.750 0.750 0.750
0.250 0.250 0.250
0.000 0.000 0.000
```

Values from the calculation:
Calculated total energy in eV per cell: -20.34
Energy relative to the elements, uncorrected in eV per formula unit: -1.6
N(E_F) in states/eV per cell: 5.1
Crystal system: cubic
Total moment in μB/cell: 0.0


[2]
Computed, not measured: an optimized crystal structure of Ac3ErH at the GGA-PBE level of DFT.

Geometry as POSCAR:
```
Ac3ErH
1.0
-3.231 1.202 4.260
1.521 -4.651 2.467
4.156 2.637 2.409
H Ac Er
1 3 1
direct
0.000 0.000 0.000
0.000 0.500 0.000
0.000 0.000 0.500
0.500 0.000 0.000
0.500 0.500 0.500
```

Values from the calculation:
Calculated total energy in eV per cell: -20.74
N(E_F) in states/eV per cell: 5.0
Crystal system: cubic
Total moment in μB/cell: 0.0


[3]
Computed, not measured: an optimized crystal structure of Ac5Er3H12 at the GGA-PBE level of DFT.

Geometry as POSCAR:
```
Ac5Er3H12
1.0
12.157 0.000 0.000
-4.052 11.462 0.000
-4.052 -5.731 9.926
Er Ac H
12 20 48
direct
0.750 0.375 0.125
0.875 0.750 0.125
0.375 0.750 0.625
0.250 0.125 0.375
0.875 0.125 0.250
0.375 0.625 0.250
0.625 0.375 0.750
0.125 0.875 0.750
0.750 0.875 0.625
0.625 0.250 0.375
0.125 0.250 0.875
0.250 0.625 0.875
0.125 0.375 0.250
0.000 0.500 0.000
0.000 0.000 0.000
0.375 0.250 0.125
0.500 0.000 0.500
0.500 0.500 0.000
0.125 0.750 0.375
0.750 0.125 0.875
0.750 0.625 0.375
0.375 0.125 0.750
0.625 0.875 0.250
0.500 0.500 0.500
0.500 0.000 0.000
0.000 0.000 0.500
0.250 0.375 0.625
0.250 0.875 0.125
0.000 0.500 0.500
0.875 0.250 0.625
0.625 0.750 0.875
0.875 0.625 0.750
0.731 0.172 0.079
0.348 0.579 0.407
0.921 0.328 0.269
0.579 0.231 0.172
0.558 0.731 0.652
0.921 0.593 0.152
0.348 0.769 0.442
0.093 0.942 0.172
0.593 0.921 0.652
0.731 0.558 0.152
0.769 0.421 0.328
0.848 0.907 0.079
0.172 0.731 0.579
0.328 0.407 0.058
0.058 0.907 0.328
0.442 0.172 0.593
0.058 0.152 0.231
0.421 0.652 0.093
0.848 0.942 0.269
0.172 0.442 0.093
0.328 0.921 0.769
0.593 0.672 0.442
0.907 0.848 0.579
0.769 0.348 0.942
0.407 0.328 0.558
0.093 0.152 0.421
0.231 0.652 0.058
0.152 0.058 0.731
0.672 0.079 0.231
0.828 0.558 0.907
0.579 0.348 0.907
0.558 0.828 0.407
0.942 0.848 0.769
0.942 0.093 0.672
0.828 0.269 0.421
0.152 0.093 0.921
0.672 0.593 0.942
0.407 0.079 0.348
0.269 0.442 0.848
0.231 0.579 0.672
0.907 0.058 0.828
0.652 0.231 0.558
0.421 0.769 0.828
0.079 0.407 0.848
0.442 0.269 0.348
0.079 0.672 0.731
0.652 0.421 0.593
0.269 0.828 0.921
```

Values from the calculation:
Calculated total energy in eV per cell: -324.74
N(E_F) in states/eV per cell: 40.3
Crystal system: cubic
Total moment in μB/cell: 0.0


[4]
Computed, not measured: an optimized crystal structure of Ac2ErH at the GGA-PBE level of DFT.

Geometry as POSCAR:
```
Ac2ErH
1.0
3.691 0.000 0.000
0.000 3.691 0.000
0.000 0.000 8.979
H Ac Er
1 2 1
direct
0.500 0.500 0.000
0.000 0.000 0.800
0.000 0.000 0.200
0.500 0.500 0.500
```

Values from the calculation:
Calculated total energy in eV per cell: -15.50
Polymorph energy (0 for the lowest one) in meV per atom: 26
N(E_F) in states/eV per cell: 6.2
Crystal system: tetragonal
Total moment in μB/cell: 0.0


[5]
Computed, not measured: an optimized crystal structure of AcErH2 at the GGA-PBE level of DFT.

Geometry as POSCAR:
```
AcErH2
1.0
3.736 0.000 0.000
1.868 3.236 0.000
1.868 1.079 6.367
H Ac Er
2 1 1
direct
0.132 0.132 0.604
0.868 0.868 0.396
0.000 0.000 0.000
0.500 0.500 0.500
```

Values from the calculation:
Calculated total energy in eV per cell: -17.17
N(E_F) in states/eV per cell: 1.4
Crystal system: trigonal
Total moment in μB/cell: 0.0


[6]
Computed, not measured: an optimized crystal structure of Ac2ErH at the GGA-PBE level of DFT.

Geometry as POSCAR:
```
Ac2ErH
1.0
3.743 0.000 0.000
1.872 3.242 0.000
1.872 1.081 10.264
H Ac Er
1 2 1
direct
0.500 0.500 0.500
0.115 0.115 0.656
0.885 0.885 0.344
0.000 0.000 0.000
```

Values from the calculation:
Calculated total energy in eV per cell: -15.60
Polymorph energy (0 for the lowest one) in meV per atom: 0
N(E_F) in states/eV per cell: 5.4
Crystal system: trigonal
Total moment in μB/cell: 0.0


What did the fifth record say?
Computed, not measured: an optimized crystal structure of AcErH2 at the GGA-PBE level of DFT.

Geometry as POSCAR:
```
AcErH2
1.0
3.736 0.000 0.000
1.868 3.236 0.000
1.868 1.079 6.367
H Ac Er
2 1 1
direct
0.132 0.132 0.604
0.868 0.868 0.396
0.000 0.000 0.000
0.500 0.500 0.500
```

Values from the calculation:
Calculated total energy in eV per cell: -17.17
N(E_F) in states/eV per cell: 1.4
Crystal system: trigonal
Total moment in μB/cell: 0.0